A geometry-optimized Dy4NpGa15 structure. Source: Alexandria, functional PBE-GGA.

Properties
**Size of the total moment**: 3.82 Bohr magnetons per cell
**E_tot**: -4.3088 eV per atom
**Energy of formation**: -0.47 eV/atom

Unit cell a=4.266 b=4.266 c=21.362 alpha=90.00 beta=90.00 gamma=90.00
Element x y z (fractional)
1 Dy 0.000 0.000 0.100
2 Dy 0.000 0.000 0.300
3 Dy 0.000 0.000 0.700
4 Dy 0.000 0.000 0.900
5 Np 0.000 0.000 0.500
6 Ga 0.000 0.500 0.000
7 Ga 0.000 0.500 0.200
8 Ga 0.000 0.500 0.401
9 Ga 0.000 0.500 0.599
10 Ga 0.000 0.500 0.800
11 Ga 0.500 0.000 0.000
12 Ga 0.500 0.000 0.200
13 Ga 0.500 0.000 0.401
14 Ga 0.500 0.000 0.599
15 Ga 0.500 0.000 0.800
16 Ga 0.500 0.500 0.100
17 Ga 0.500 0.500 0.300
18 Ga 0.500 0.500 0.500
19 Ga 0.500 0.500 0.700
20 Ga 0.500 0.500 0.900